The following is a PBE calculation of crystalline TbDy2ErN4 at its relaxed geometry, from Alexandria via LeMat-Bulk.

```
8
Lattice="6.0067 0.0000 0.0000 0.0000 3.4694 0.0000 -1.9997 0.0000 5.6642" Properties=species:S:1:pos:R:3 pbc="T T T"
Tb 0.0000 0.0000 0.0000
Dy 2.0035 0.0000 2.8321
Dy 3.0033 1.7347 0.0000
Er -0.9999 1.7347 2.8321
N -0.0014 0.0000 4.2350
N 0.9987 1.7347 1.4265
N 3.0082 1.7347 4.2377
N 4.0083 0.0000 1.4292
```

Summary:
Formation energy without anion corrections, meV per atom: -1712
Electronic total energy, eV/atom: -8.1748

=====

The following is a PBE calculation of crystalline CaTb6Ho6 at its relaxed geometry, from Alexandria via LeMat-Bulk.

```
13
Lattice="6.6934 0.0000 0.0000 -3.3467 5.7966 0.0000 0.0000 0.0000 11.3706" Properties=species:S:1:pos:R:3 pbc="T T T"
Ca 0.0000 0.0000 0.0000
Tb 0.0000 0.0000 3.9651
Tb 0.0000 0.0000 7.4054
Tb 0.0000 3.8644 0.0000
Tb 0.0000 3.8644 5.6853
Tb 3.3467 1.9322 0.0000
Tb 3.3467 1.9322 5.6853
Ho -1.6733 2.8983 2.8092
Ho -1.6733 2.8983 8.5614
Ho 3.3467 0.0000 2.8092
Ho 3.3467 0.0000 8.5614
Ho 1.6733 2.8983 2.8092
Ho 1.6733 2.8983 8.5614
```

Summary:
Electronic total energy, eV/atom: -4.1303

=====

The following is a PBE calculation of crystalline PuTcAs at its relaxed geometry, from Alexandria via LeMat-Bulk.

```
3
Lattice="4.3866 0.0000 0.0000 -2.1933 3.7989 0.0000 0.0000 0.0000 3.4705" Properties=species:S:1:pos:R:3 pbc="T T T"
Pu 0.0000 0.0000 0.0000
Tc 2.1933 1.2663 1.7352
As 0.0000 2.5326 1.7352
```

Summary:
Electronic total energy, eV/atom: -10.0932

=====

The following is a PBE calculation of crystalline Be2Co2Si at its relaxed geometry, from Alexandria via LeMat-Bulk.

```
10
Lattice="5.9098 0.0000 0.0000 0.0000 5.9098 0.0000 0.0000 0.0000 2.8872" Properties=species:S:1:pos:R:3 pbc="T T T"
Be 0.8099 2.1449 0.0000
Be 2.1449 5.0998 0.0000
Be 3.7648 0.8099 0.0000
Be 5.0998 3.7648 0.0000
Co 0.9278 3.8827 1.4436
Co 2.0270 0.9278 1.4436
Co 3.8827 4.9819 1.4436
Co 4.9819 2.0270 1.4436
Si 0.0000 0.0000 1.4436
Si 2.9549 2.9549 1.4436
```

Summary:
Formation energy without anion corrections, meV per atom: -211
Electronic total energy, eV/atom: -5.6282

=====

The following is a PBE calculation of crystalline InPbAu3 at its relaxed geometry, from Alexandria via LeMat-Bulk.

```
10
Lattice="5.5652 0.0000 0.0000 0.0000 7.0714 0.0000 -1.4264 0.0000 5.8139" Properties=species:S:1:pos:R:3 pbc="T T T"
In -0.1681 1.7678 2.3393
In 4.3069 5.3035 3.4746
Pb 1.5842 5.3035 1.4114
Pb 2.5546 1.7678 4.4025
Au -0.2293 0.3549 5.0051
Au -0.2293 3.1808 5.0051
Au 1.6651 5.3035 4.3709
Au 2.4737 1.7678 1.4430
Au 4.3681 3.8906 0.8088
Au 4.3681 6.7164 0.8088
```

Summary:
Electronic total energy, eV/atom: -3.3465

=====

The following is a PBE calculation of crystalline MgZr2CoTc at its relaxed geometry, from Alexandria via LeMat-Bulk.

```
5
Lattice="4.8689 0.0000 0.0000 0.0000 4.8689 0.0000 0.0000 0.0000 4.4275" Properties=species:S:1:pos:R:3 pbc="T T T"
Mg 0.0000 0.0000 0.0000
Zr 0.0000 2.4345 2.2138
Zr 2.4345 0.0000 2.2138
Co 2.4345 2.4345 2.2138
Tc 2.4345 2.4345 0.0000
```

Summary:
Electronic total energy, eV/atom: -6.8560

=====

The following is a PBE calculation of crystalline Zn4CoNi at its relaxed geometry, from Alexandria via LeMat-Bulk.

```
6
Lattice="0.0000 3.4247 3.4247 3.4247 0.0000 3.4247 3.4247 3.4247 0.0000" Properties=species:S:1:pos:R:3 pbc="T T T"
Zn 0.8557 0.8557 0.8557
Zn 2.5690 2.5690 0.8557
Zn 2.5690 0.8557 2.5690
Zn 0.8557 2.5690 2.5690
Co 5.1371 5.1371 5.1371
Ni 3.4247 3.4247 3.4247
```

Summary:
Electronic total energy, eV/atom: -2.8295

=====

The following is a PBE calculation of crystalline InFe2Cu at its relaxed geometry, from Alexandria via LeMat-Bulk.

```
8
Lattice="-1.8291 1.8291 9.3177 1.8291 -1.8291 9.3177 1.8291 1.8291 -9.3177" Properties=species:S:1:pos:R:3 pbc="T T T"
In 0.0000 0.0000 0.0000
In 0.0000 1.8291 4.6589
Fe 0.9146 -0.8686 6.9883
Fe 0.9605 0.9146 2.3294
Fe 0.9146 2.6978 -2.3294
Fe 0.8686 0.9146 11.6472
Cu 1.8291 0.0000 4.6589
Cu 0.0000 0.0000 9.3177
```

Summary:
Electronic total energy, eV/atom: -5.4173

=====

The following is a PBE calculation of crystalline Al2CrPb at its relaxed geometry, from Alexandria via LeMat-Bulk.

```
4
Lattice="4.5553 -1.6121 0.0000 4.5553 1.6121 0.0000 -1.1863 0.0000 5.4030" Properties=species:S:1:pos:R:3 pbc="T T T"
Al 1.9219 0.0000 1.0207
Al 6.0025 0.0000 4.3823
Cr 4.5553 0.0000 0.0000
Pb -0.5932 0.0000 2.7015
```

Summary:
Electronic total energy, eV/atom: -4.8609

=====

The following is a PBE calculation of crystalline V3InH3 at its relaxed geometry, from Alexandria via LeMat-Bulk.

```
14
Lattice="5.1431 0.0000 0.0000 0.0000 5.1431 0.0000 0.0000 0.0000 5.1431" Properties=species:S:1:pos:R:3 pbc="T T T"
V 0.0000 1.2858 2.5715
V 0.0000 3.8573 2.5715
V 1.2858 2.5715 0.0000
V 2.5715 0.0000 1.2858
V 2.5715 0.0000 3.8573
V 3.8573 2.5715 0.0000
In 0.0000 0.0000 0.0000
In 2.5715 2.5715 2.5715
H 0.0000 2.5715 1.2858
H 0.0000 2.5715 3.8573
H 1.2858 0.0000 2.5715
H 2.5715 1.2858 0.0000
H 2.5715 3.8573 0.0000
H 3.8573 0.0000 2.5715
```

Summary:
Electronic total energy, eV/atom: -5.8780

=====

The following is a PBE calculation of crystalline SrHoMg17 at its relaxed geometry, from Alexandria via LeMat-Bulk.

```
19
Lattice="5.1773 2.9891 5.1046 -5.1773 2.9891 5.1046 0.0000 -5.9782 5.1046" Properties=species:S:1:pos:R:3 pbc="T T T"
Sr 0.0000 0.0000 0.0000
Ho 0.0000 0.0000 10.1761
Mg -1.5945 -2.6912 5.1458
Mg -3.1279 -0.0353 5.1458
Mg -2.5548 -1.4750 7.9320
Mg 0.0000 0.0000 3.6671
Mg 0.0000 -3.0222 7.6866
Mg -2.6173 1.5111 7.6866
Mg 1.5945 -2.6912 5.1458
Mg -1.5334 2.7265 5.1458
Mg 0.0000 0.0000 6.6999
Mg -2.4560 -1.4180 12.5876
Mg 3.1279 -0.0353 5.1458
Mg 1.5334 2.7265 5.1458
Mg 2.5548 -1.4750 7.9320
Mg 0.0000 2.9500 7.9320
Mg 2.6173 1.5111 7.6866
Mg 2.4560 -1.4180 12.5875
Mg 0.0000 2.8359 12.5875
```

Summary:
Electronic total energy, eV/atom: -1.7831

=====

The following is a PBE calculation of crystalline CeTmAg at its relaxed geometry, from Alexandria via LeMat-Bulk.

```
6
Lattice="1.7221 -8.4830 0.0000 1.7221 8.4830 0.0000 0.0000 0.0000 5.1905" Properties=species:S:1:pos:R:3 pbc="T T T"
Ce 1.7221 4.5847 3.8928
Ce 1.7221 -4.5847 1.2976
Tm 1.7221 7.1102 1.2976
Tm 1.7221 -7.1102 3.8928
Ag 1.7221 1.1766 1.2976
Ag 1.7221 -1.1766 3.8928
```

Summary:
Electronic total energy, eV/atom: -4.5401

=====

The following is a PBE calculation of crystalline Ce3MgSi6Pt2 at its relaxed geometry, from Alexandria via LeMat-Bulk.

```
12
Lattice="5.8595 0.0000 0.0000 -2.9298 5.0745 0.0000 0.0000 0.0000 8.0253" Properties=species:S:1:pos:R:3 pbc="T T T"
Ce 0.0000 0.0000 0.0000
Ce 0.0000 3.3830 5.0661
Ce 2.9298 1.6915 2.9592
Mg 0.0000 0.0000 4.0127
Si 0.0000 1.9793 2.2822
Si -1.2156 4.0848 2.2822
Si 1.7141 0.9897 5.7431
Si 1.2156 4.0848 2.2822
Si 4.1454 0.9897 5.7431
Si 2.9298 3.0952 5.7431
Pt 0.0000 3.3830 0.2533
Pt 2.9298 1.6915 7.7720
```

Summary:
Formation energy without anion corrections, meV per atom: -457
Electronic total energy, eV/atom: -5.7912

=====

The following is a PBE calculation of crystalline La2TbPr2Mg at its relaxed geometry, from Alexandria via LeMat-Bulk.

```
12
Lattice="-3.4875 9.0933 3.2658 3.4875 -9.0933 3.2658 3.4875 9.0933 -3.2658" Properties=species:S:1:pos:R:3 pbc="T T T"
La 1.1394 2.7529 0.0000
La 1.1394 -2.7529 3.2658
La 2.3481 11.8462 0.0000
La 2.3481 6.3403 3.2658
Tb 0.0000 0.0000 1.6329
Tb 0.0000 0.0000 4.8987
Pr 4.5450 2.7399 0.0000
Pr 1.0575 6.3533 0.0000
Pr 2.4299 2.7399 3.2658
Pr -1.0575 6.3533 3.2658
Mg 3.4875 0.0000 1.6329
Mg 0.0000 9.0933 1.6329
```

Summary:
Electronic total energy, eV/atom: -4.1091

=====

The following is a PBE calculation of crystalline RbNa2Au at its relaxed geometry, from Alexandria via LeMat-Bulk.

```
32
Lattice="18.4573 0.0000 0.0000 0.0000 9.0738 0.0000 0.0000 0.0000 6.7966" Properties=species:S:1:pos:R:3 pbc="T T T"
Rb 1.9467 2.2684 1.5051
Rb 2.4853 6.8053 0.2048
Rb 6.7433 2.2684 3.6031
Rb 7.2819 6.8053 4.9033
Rb 11.1754 2.2684 1.8932
Rb 11.7140 6.8053 3.1935
Rb 15.9720 2.2684 6.5917
Rb 16.5106 6.8053 5.2915
Na 0.8744 0.5608 4.7597
Na 0.8744 3.9761 4.7597
Na 3.8847 5.0612 3.5252
Na 3.8847 8.5494 3.5252
Na 5.3439 0.5243 0.1270
Na 5.3439 4.0126 0.1270
Na 8.3543 5.0976 1.3614
Na 8.3543 8.5130 1.3614
Na 10.1030 0.5608 5.4352
Na 10.1030 3.9761 5.4352
Na 13.1134 5.0612 6.6696
Na 13.1134 8.5494 6.6696
Na 14.5726 0.5243 3.2713
Na 14.5726 4.0126 3.2713
Na 17.5829 5.0976 2.0369
Na 17.5829 8.5130 2.0369
Au 1.2693 6.8053 3.5452
Au 3.4794 2.2684 5.0329
Au 5.7492 6.8053 1.6346
Au 7.9594 2.2684 0.1469
Au 10.4979 6.8053 6.6496
Au 12.7081 2.2684 5.1619
Au 14.9779 6.8053 1.7636
Au 17.1880 2.2684 3.2513
```

Summary:
Electronic total energy, eV/atom: -1.9056

=====

The following is a PBE calculation of crystalline Ti4CuPt5 at its relaxed geometry, from Alexandria via LeMat-Bulk.

```
10
Lattice="3.0819 0.0000 0.0000 0.0000 3.0819 0.0000 0.0000 0.0000 16.4099" Properties=species:S:1:pos:R:3 pbc="T T T"
Ti 0.0000 0.0000 1.7140
Ti 0.0000 0.0000 5.1744
Ti 0.0000 0.0000 11.2355
Ti 0.0000 0.0000 14.6959
Cu 0.0000 0.0000 8.2050
Pt 1.5409 1.5409 0.0000
Pt 1.5409 1.5409 3.4094
Pt 1.5409 1.5409 6.6657
Pt 1.5409 1.5409 9.7442
Pt 1.5409 1.5409 13.0006
```

Summary:
Electronic total energy, eV/atom: -7.3388

=====

The following is a PBE calculation of crystalline Ce3TeCl3 at its relaxed geometry, from Alexandria via LeMat-Bulk.

```
14
Lattice="3.6189 2.0894 10.0239 -3.6189 2.0894 10.0239 0.0000 -4.1788 10.0239" Properties=species:S:1:pos:R:3 pbc="T T T"
Ce -1.1136 -2.2468 11.8252
Ce -2.5026 -0.1590 18.2465
Ce -1.3890 2.0878 11.8252
Ce 1.3890 -2.0878 18.2465
Ce 2.5025 0.1590 11.8252
Ce 1.1136 2.2468 18.2465
Te 0.0000 0.0000 10.0223
Te 0.0000 0.0000 20.0494
Cl -2.3559 -0.1052 13.4248
Cl -1.0868 -2.0929 16.6469
Cl 1.2691 -1.9877 13.4248
Cl -1.2691 1.9877 16.6469
Cl 1.0868 2.0929 13.4248
Cl 2.3559 0.1052 16.6469
```

Summary:
Formation energy without anion corrections, meV per atom: -1542
Electronic total energy, eV/atom: -5.3253

=====

The following is a PBE calculation of crystalline Cs6Au3I2Br at its relaxed geometry, from Alexandria via LeMat-Bulk.

```
12
Lattice="4.6282 -8.0111 0.0000 4.6282 8.0111 0.0000 -3.0849 0.0000 8.7557" Properties=species:S:1:pos:R:3 pbc="T T T"
Cs -0.0490 2.5838 6.6287
Cs 1.4361 0.0000 2.1367
Cs -0.0490 -2.5838 6.6287
Cs 6.2204 2.5838 2.1270
Cs 4.7353 0.0000 6.6190
Cs 6.2204 -2.5838 2.1270
Au 4.6282 5.3076 0.0000
Au 4.6282 0.0000 0.0000
Au 4.6282 -5.3076 0.0000
I 3.0857 2.6678 4.3779
I 3.0857 -2.6678 4.3779
Br -1.5425 0.0000 4.3779
```

Summary:
Formation energy without anion corrections, meV per atom: -969
Electronic total energy, eV/atom: -2.6132

=====

The following is a PBE calculation of crystalline PmInAu at its relaxed geometry, from Alexandria via LeMat-Bulk.

```
3
Lattice="0.0000 3.4486 3.4486 3.4486 0.0000 3.4486 3.4486 3.4486 0.0000" Properties=species:S:1:pos:R:3 pbc="T T T"
Pm 0.0000 0.0000 0.0000
In 3.4486 3.4486 3.4486
Au 5.1729 5.1729 5.1729
```

Summary:
Electronic total energy, eV/atom: -4.2263

=====

The following is a PBE calculation of crystalline BaWS2 at its relaxed geometry, from Alexandria via LeMat-Bulk.

```
4
Lattice="1.9721 1.1386 8.5845 -1.9721 1.1386 8.5845 0.0000 -2.2771 8.5845" Properties=species:S:1:pos:R:3 pbc="T T T"
Ba 0.0000 0.0000 0.0000
W 0.0000 0.0000 12.8768
S 0.0000 0.0000 10.6237
S 0.0000 0.0000 15.1298
```

Summary:
Formation energy without anion corrections, meV per atom: 79
Electronic total energy, eV/atom: -5.7034